(1)
This record from Alexandria via LeMat-Bulk describes an optimized crystal structure of SiRu2Au. The functional is PBE-GGA.

The structure belongs to space group R-3m (No. 166, hexagonal axes); the cell edges are 2.8122, 2.8122 and 25.6692 Å and the angles 90.00°, 90.00° and 120.00°. Symmetry generates all atoms from Si at (0.0000, 0.0000, 0.0000), Ru at (0.0000, 0.0000, 0.2617) and Au at (0.0000, 0.0000, 0.5000).

The calculation puts the uncorrected formation energy at -72.2 meV per atom. Its electronic total energy is -0.2530 hartree per atom.

=====

(2)
This record from Alexandria via LeMat-Bulk describes an optimized crystal structure of SiRuAu4. The functional is PBE-GGA.

The structure belongs to space group F-43m (No. 216); the cell edges are 7.6881, 7.6881 and 7.6881 Å and the angles 90.00°, 90.00° and 90.00°. Symmetry generates all atoms from Si at (0.0000, 0.0000, 0.0000), Ru at (0.2500, 0.2500, 0.7500) and Au at (0.1249, 0.1249, 0.3751).

The calculation puts the uncorrected formation energy at 701.9 meV per atom. Its electronic total energy is -0.1445 hartree per atom.

=====

(3)
This record from Alexandria via LeMat-Bulk describes an optimized crystal structure of SiRu3Au. The functional is PBE-GGA.

The structure belongs to space group Pm-3m (No. 221); the cell edges are 4.8603, 4.8603 and 4.8603 Å and the angles 90.00°, 90.00° and 90.00°. Symmetry generates all atoms from Si at (0.0000, 0.0000, 0.0000), Ru at (0.0000, 0.5000, 0.5000) and Au at (0.5000, 0.5000, 0.5000).

The energy relative to the lowest polymorph listed for this composition comes out at 1.554 eV/atom. The calculation puts the uncorrected formation energy at 2315.0 meV per atom. Its electronic total energy is -0.1834 hartree per atom.

=====

(4)
This record from Alexandria via LeMat-Bulk describes an optimized crystal structure of SiRuAu. The functional is PBE-GGA.

The structure belongs to space group Fmm2 (No. 42); the cell edges are 3.0916, 4.8683 and 12.4896 Å and the angles 90.00°, 90.00° and 90.00°. Symmetry generates all atoms from Si at (0.0000, 0.0000, 0.0000), Ru at (0.0000, 0.0000, 0.6346) and Au at (0.0000, 0.0000, 0.3293).

The energy relative to the lowest polymorph listed for this composition comes out at 0.340 eV/atom. The calculation puts the uncorrected formation energy at 159.1 meV per atom. Its electronic total energy is -0.2144 hartree per atom.

=====

(5)
This record from Alexandria via LeMat-Bulk describes an optimized crystal structure of SiRuAu2. The functional is PBE-GGA.

The structure belongs to space group P4/mmm (No. 123); the cell edges are 2.9045, 2.9045 and 7.8119 Å and the angles 90.00°, 90.00° and 90.00°. Symmetry generates all atoms from Si at (0.0000, 0.0000, 0.0000), Ru at (0.0000, 0.0000, 0.5000) and Au at (0.5000, 0.5000, 0.2438).

The calculation puts the uncorrected formation energy at 426.8 meV per atom. Its electronic total energy is -0.1796 hartree per atom.

=====

(6)
This record from Alexandria via LeMat-Bulk describes an optimized crystal structure of SiRuAu2. The functional is PBE-GGA.

The structure belongs to space group C2/m (No. 12); the cell edges are 5.2978, 10.0202 and 2.9625 Å and the angles 90.00°, 123.63° and 90.00°. Symmetry generates all atoms from Si at (0.0000, 0.0000, 0.0000), Ru at (0.0000, 0.5000, 0.0000) and Au at (0.2500, 0.2500, 0.5000).

The calculation puts the uncorrected formation energy at 192.3 meV per atom. Its electronic total energy is -0.1882 hartree per atom.

=====

(7)
This record from Alexandria via LeMat-Bulk describes an optimized crystal structure of SiRu2Au. The functional is PBE-GGA.

The structure belongs to space group Pmmm (No. 47); the cell edges are 2.8358, 4.4819 and 4.6973 Å and the angles 90.00°, 90.00° and 90.00°. Symmetry generates all atoms from Si at (0.0000, 0.0000, 0.0000), Ru at (0.0000, 0.5000, 0.5000), Ru at (0.5000, 0.5000, 0.0000) and Au at (0.5000, 0.0000, 0.5000).

The calculation puts the uncorrected formation energy at 312.1 meV per atom. Its electronic total energy is -0.2389 hartree per atom.

=====

(8)
This record from Alexandria via LeMat-Bulk describes an optimized crystal structure of SiRu2Au. The functional is PBE-GGA.

The structure belongs to space group C2/m (No. 12); the cell edges are 5.3798, 8.9419 and 2.8198 Å and the angles 90.00°, 117.88° and 90.00°. Symmetry generates all atoms from Si at (0.0000, 0.0000, 0.0000), Ru at (0.2500, 0.2500, 0.5000) and Au at (0.0000, 0.5000, 0.0000).

The calculation puts the uncorrected formation energy at 331.7 meV per atom. Its electronic total energy is -0.2382 hartree per atom.

=====

Question: electronic total energy of number 2 (SiRuAu4)?
Answer: -0.1445 hartree per atom